w.
A relaxed structure of SrHg4Au. Source: Alexandria, functional GGA-PBE.

The space group is C2/m (No. 12) and the conventional cell measures 14.7548, 8.1732 and 5.5758 Å, with angles of 90.00, 105.50 and 90.00 degrees. Symmetry generates all atoms from Sr at (0.2093, 0.0000, 0.1477), Hg at (0.0000, 0.2070, 0.0000), Hg at (0.1217, 0.1862, 0.5777), Hg at (0.1537, 0.5000, 0.2602) and Au at (0.0673, 0.5000, 0.7370).

x.
A relaxed structure of SrHg4Au. Source: Alexandria, functional GGA-PBE.

The space group is F-43m (No. 216) and the conventional cell measures 8.6088, 8.6088 and 8.6088 Å, with angles of 90.00, 90.00 and 90.00 degrees. Symmetry generates all atoms from Sr at (0.0000, 0.0000, 0.0000), Hg at (0.1244, 0.1244, 0.3756) and Au at (0.2500, 0.2500, 0.7500).

y.
A relaxed structure of SrHg4Au. Source: Alexandria, functional GGA-PBE.

The space group is Cmc2_1 (No. 36) and the conventional cell measures 5.2284, 17.5161 and 7.0788 Å, with angles of 90.00, 90.00 and 90.00 degrees. Symmetry generates all atoms from Sr at (0.0000, 0.1646, 0.0000), Hg at (0.0000, 0.0258, 0.3717), Hg at (0.0000, 0.2032, 0.4776), Hg at (0.0000, 0.3653, 0.1790), Hg at (0.0000, 0.4659, 0.5729) and Au at (0.0000, 0.3208, 0.7729).

Which one sits at the top of the stability order? y does.

w.
A relaxed structure of SrHg3Au3. Source: Alexandria, functional GGA-PBE.

The space group is Pm-3n (No. 223) and the conventional cell measures 7.7179, 7.7179 and 7.7179 Å, with angles of 90.00, 90.00 and 90.00 degrees. Symmetry generates all atoms from Sr at (0.0000, 0.0000, 0.0000), Hg at (0.0000, 0.2500, 0.5000) and Au at (0.0000, 0.5000, 0.2500).

x.
A relaxed structure of SrHg3Au3. Source: Alexandria, functional GGA-PBE.

The space group is P2_1/m (No. 11) and the conventional cell measures 9.3415, 4.5392 and 9.3511 Å, with angles of 90.00, 119.96 and 90.00 degrees. Symmetry generates all atoms from Sr at (0.1666, 0.2500, 0.3331), Hg at (0.2512, 0.2500, 0.9648), Hg at (0.2862, 0.7500, 0.7513), Hg at (0.4649, 0.7500, 0.2139), Au at (0.0496, 0.2500, 0.6059), Au at (0.1060, 0.7500, 0.0564) and Au at (0.4433, 0.7500, 0.5494).

Which one sits at the top of the stability order? x does.

w.
A relaxed structure of Sr6HgAu. Source: Alexandria, functional GGA-PBE.

The space group is I4/mmm (No. 139) and the conventional cell measures 5.6874, 5.6874 and 20.5862 Å, with angles of 90.00, 90.00 and 90.00 degrees. Symmetry generates all atoms from Sr at (0.0000, 0.0000, 0.2489), Sr at (0.0000, 0.5000, 0.0908), Hg at (0.0000, 0.0000, 0.0000) and Au at (0.0000, 0.0000, 0.5000).

x.
A relaxed structure of Sr6HgAu. Source: Alexandria, functional GGA-PBE.

The space group is R-3 (No. 148, hexagonal axes) and the conventional cell measures 7.7193, 7.7193 and 22.0190 Å, with angles of 90.00, 90.00 and 120.00 degrees. Symmetry generates all atoms from Sr at (0.0004, 0.3435, 0.4150), Hg at (0.0000, 0.0000, 0.5000) and Au at (0.0000, 0.0000, 0.0000).

Which one sits at the top of the stability order? x does.

w.
A relaxed structure of TaHgAu. Source: Alexandria, functional GGA-PBE.

The space group is Cm (No. 8) and the conventional cell measures 12.8545, 3.0142 and 3.0140 Å, with angles of 90.00, 103.39 and 90.00 degrees. Symmetry generates all atoms from Ta at (0.0000, 0.0000, 0.0000), Hg at (0.3296, 0.0000, 0.3306) and Au at (0.1511, 0.5000, 0.6491).

x.
A relaxed structure of TaHgAu. Source: Alexandria, functional GGA-PBE.

The space group is P-1 (No. 2) and the conventional cell measures 2.9120, 2.9144 and 14.6265 Å, with angles of 91.04, 94.68 and 98.19 degrees. Symmetry generates all atoms from Ta at (0.2177, 0.2381, 0.4242), Hg at (0.0491, 0.5720, 0.1002) and Au at (0.3445, 0.2848, 0.7203).

y.
A relaxed structure of TaHgAu. Source: Alexandria, functional GGA-PBE.

The space group is P4/nmm (No. 129, origin choice 2) and the conventional cell measures 2.9324, 2.9324 and 13.7463 Å, with angles of 90.00, 90.00 and 90.00 degrees. Symmetry generates all atoms from Ta at (0.2500, 0.2500, 0.0808), Hg at (0.2500, 0.2500, 0.4045) and Au at (0.2500, 0.2500, 0.7712).

z.
A relaxed structure of TaHgAu. Source: Alexandria, functional GGA-PBE.

The space group is F-43m (No. 216) and the conventional cell measures 6.3427, 6.3427 and 6.3427 Å, with angles of 90.00, 90.00 and 90.00 degrees. Symmetry generates all atoms from Ta at (0.0000, 0.0000, 0.0000), Hg at (0.0000, 0.0000, 0.5000) and Au at (0.2500, 0.2500, 0.7500).

Which one sits at the top of the stability order? x does.